No. 1
Pr2CuSe2O2: optimized geometry, PBE.

Cell lengths 4.0306, 4.0306, 11.5951 Å; angles 90.00, 90.00, 120.00 degrees
Sites, in units of the cell vectors:
Pr (0.6667, 0.3333, 0.3686)
Pr (0.3333, 0.6667, 0.6314)
Cu (0.0000, 0.0000, 0.0000)
Se (0.0000, 0.0000, 0.8086)
Se (0.0000, 0.0000, 0.1914)
O (0.6667, 0.3333, 0.5780)
O (0.3333, 0.6667, 0.4220)

E_form (uncorrected)	-1.96	eV per atom
DOS(E_F)	4.1	states/eV/f.u.
mass density	5.45	Mg/m³
crystal system	trigonal



No. 2
Sr6Pr3Cu6O17: optimized geometry, PBE.

Cell lengths 11.8696, 11.8696, 11.8696 Å; angles 161.68, 121.51, 61.84 degrees
Sites, in units of the cell vectors:
Pr (0.0000, 0.0021, 0.0021)
Pr (0.2958, 0.9846, 0.2804)
Pr (0.7042, 0.9846, 0.6887)
Sr (0.1431, 0.8282, 0.3284)
Sr (0.8569, 0.1853, 0.6851)
Sr (0.5002, 0.1853, 0.3284)
Sr (0.4998, 0.8282, 0.6851)
Sr (0.8023, 0.8000, 0.9977)
Sr (0.1977, 0.1954, 0.9977)
O (0.8626, 0.5014, 0.3639)
O (0.1374, 0.5014, 0.6388)
O (0.0485, 0.9064, 0.1403)
O (0.9515, 0.0918, 0.8579)
O (0.2340, 0.0918, 0.1403)
O (0.7660, 0.9064, 0.8579)
O (0.7424, 0.5810, 0.1609)
O (0.2576, 0.4185, 0.8386)
O (0.5799, 0.4185, 0.1609)
O (0.4201, 0.5810, 0.8386)
O (0.3203, 0.2978, 0.9774)
O (0.6797, 0.6571, 0.9774)
O (0.6414, 0.2963, 0.3404)
O (0.3586, 0.6990, 0.6549)
O (0.0441, 0.6990, 0.3404)
O (0.9559, 0.2963, 0.6549)
O (0.5000, 0.7756, 0.2756)
Cu (0.7508, 0.3964, 0.3524)
Cu (0.2492, 0.6015, 0.6456)
Cu (0.9560, 0.6015, 0.3524)
Cu (0.0440, 0.3964, 0.6456)
Cu (0.4141, 0.4572, 0.0431)
Cu (0.5859, 0.6291, 0.0431)

E_form (uncorrected)	-2.07	eV per atom
DOS(E_F)	9.1	states/eV/f.u.
mass density	5.96	Mg/m³
crystal system	orthorhombic



No. 3
SrPrCu2O5: optimized geometry, PBE.

Cell lengths 3.9029, 3.9029, 7.6120 Å; angles 90.00, 90.00, 90.00 degrees
Sites, in units of the cell vectors:
Sr (0.0000, 0.0000, 0.5000)
Pr (0.0000, 0.0000, 0.0000)
Cu (0.5000, 0.5000, 0.2416)
Cu (0.5000, 0.5000, 0.7584)
O (0.0000, 0.5000, 0.2037)
O (0.5000, 0.0000, 0.2037)
O (0.0000, 0.5000, 0.7963)
O (0.5000, 0.0000, 0.7963)
O (0.5000, 0.5000, 0.5000)

E_form (uncorrected)	-1.80	eV per atom
DOS(E_F)	4.8	states/eV/f.u.
mass density	6.24	Mg/m³
crystal system	tetragonal



No. 4
SrPr2CuO5: optimized geometry, PBE.

Cell lengths 6.7741, 6.7741, 7.5038 Å; angles 116.83, 116.83, 90.00 degrees
Sites, in units of the cell vectors:
Sr (0.2500, 0.2500, 0.5000)
Sr (0.7500, 0.7500, 0.5000)
Pr (0.1712, 0.3288, 0.0000)
Pr (0.6712, 0.1712, 0.0000)
Pr (0.3288, 0.8288, 0.0000)
Pr (0.8288, 0.6712, 0.0000)
Cu (0.2500, 0.7500, 0.5000)
Cu (0.7500, 0.2500, 0.5000)
O (0.9867, 0.4867, 0.2643)
O (0.7224, 0.2224, 0.7357)
O (0.0133, 0.5133, 0.7357)
O (0.2224, 0.0133, 0.7357)
O (0.5133, 0.7224, 0.7357)
O (0.7776, 0.9867, 0.2643)
O (0.4867, 0.2776, 0.2643)
O (0.2776, 0.7776, 0.2643)
O (0.5000, 0.5000, 0.0000)
O (0.0000, 0.0000, 0.0000)

E_form (uncorrected)	-2.49	eV per atom
DOS(E_F)	5.4	states/eV/f.u.
mass density	6.43	Mg/m³
crystal system	tetragonal



> What is the mass density in the second record?

5.96 Mg/m³